Compound: YCdIn2Hg6
Source: the Alexandria database
Functional: PBE
Structure: relaxed

Summary:
For the formation energy from the elements, the calculation gives -1.21 eV/f.u.

a = 8.2050 Å, b = 8.2050 Å, c = 9.3853 Å
α = 105.36°, β = 105.36°, γ = 111.39°
With the nearest neighbours (Å) after each atom.
Sites, in units of the cell vectors:
Y1 0.2386 0.7614 0.7500  8 Hg 3.15-3.28, 4 In 3.46-3.47, 1 Cd 3.47
Y2 0.7614 0.2386 0.2500  8 Hg 3.15-3.28, 4 In 3.46-3.47, 1 Cd 3.47
Cd1 0.0171 0.9829 0.2500  8 Hg 3.01-3.18
Cd2 0.9829 0.0171 0.7500  8 Hg 3.01-3.18
In1 0.1569 0.6643 0.3486  1 In 3.01, 6 Hg 3.01-3.36
In2 0.3357 0.8431 0.1514  1 In 3.01, 6 Hg 3.01-3.36
In3 0.6643 0.1569 0.8486  1 In 3.01, 6 Hg 3.01-3.36
In4 0.8431 0.3357 0.6514  1 In 3.01, 6 Hg 3.01-3.36
Hg1 0.0690 0.2908 0.1010  2 In 3.01-3.10, 2 Hg 3.06-3.09, 1 Y 3.15, 2 Cd 3.15-3.18
Hg2 0.1765 0.3624 0.5261  1 Cd 3.01, 4 Hg 3.06-3.19, 2 Y 3.16-3.28, 2 In 3.21-3.36
Hg3 0.2676 0.4608 0.8992  4 Hg 3.09-3.19, 2 In 3.14-3.23, 1 Cd 3.17, 1 Y 3.19
Hg4 0.2908 0.0690 0.6010  2 In 3.01-3.10, 2 Hg 3.06-3.09, 1 Y 3.15, 2 Cd 3.15-3.18
Hg5 0.3624 0.1765 0.0261  1 Cd 3.01, 4 Hg 3.06-3.19, 2 Y 3.16-3.28, 2 In 3.21-3.36
Hg6 0.4608 0.2676 0.3992  4 Hg 3.09-3.19, 2 In 3.14-3.23, 1 Cd 3.17, 1 Y 3.19
Hg7 0.5392 0.7324 0.6008  4 Hg 3.09-3.19, 2 In 3.14-3.23, 1 Cd 3.17, 1 Y 3.19
Hg8 0.6376 0.8235 0.9739  1 Cd 3.01, 4 Hg 3.06-3.19, 2 Y 3.16-3.28, 2 In 3.21-3.36
Hg9 0.7092 0.9310 0.3990  2 In 3.01-3.10, 2 Hg 3.06-3.09, 1 Y 3.15, 2 Cd 3.15-3.18
Hg10 0.7324 0.5392 0.1008  4 Hg 3.09-3.19, 2 In 3.14-3.23, 1 Cd 3.17, 1 Y 3.19
Hg11 0.8235 0.6376 0.4739  1 Cd 3.01, 4 Hg 3.06-3.19, 2 Y 3.16-3.28, 2 In 3.21-3.36
Hg12 0.9310 0.7092 0.8990  2 In 3.01-3.10, 2 Hg 3.06-3.09, 1 Y 3.15, 2 Cd 3.15-3.18

---

Compound: RePCS2
Source: the Alexandria database
Functional: PBE
Structure: relaxed

Summary:
As for the formation energy without anion corrections: 1.378 eV per atom. For the relative energy among the computed polymorphs, the calculation gives 0 meV per atom.

a = 3.9873 Å, b = 3.9873 Å, c = 3.9048 Å
α = 90.00°, β = 90.00°, γ = 90.00°
With the nearest neighbours (Å) after each atom.
Sites, in units of the cell vectors:
Re1 0.0000 0.0000 0.0000  8 S 2.79, 4 P 2.82
P1 0.5000 0.5000 0.0000  2 C 1.95
C1 0.5000 0.5000 0.5000  2 P 1.95, 4 S 1.99
S1 0.0000 0.5000 0.5000  2 C 1.99
S2 0.5000 0.0000 0.5000  2 C 1.99

---

Compound: MoPtRh2
Source: the Alexandria database
Functional: PBE
Structure: relaxed

Summary:
For the relative energy among the computed polymorphs, the calculation gives 520 meV per atom. For the formation energy from the elements, the calculation gives 1.06 eV/f.u.

a = 5.6371 Å, b = 5.6371 Å, c = 5.6371 Å
α = 103.43°, β = 103.43°, γ = 122.37°
With the nearest neighbours (Å) after each atom.
Sites, in units of the cell vectors:
Mo1 0.0000 0.0000 0.0000  4 Rh 2.42
Mo2 0.7500 0.2500 0.5000  4 Rh 2.42
Pt1 0.2500 0.7500 0.5000  2 Mo 2.72, 4 Rh 2.72
Pt2 0.5000 0.5000 0.0000  2 Mo 2.72, 4 Rh 2.72
Rh1 0.0932 0.6250 0.9682  2 Mo 2.42
Rh2 0.3750 0.3432 0.4682  2 Mo 2.42
Rh3 0.6568 0.1250 0.0318  2 Mo 2.42
Rh4 0.8750 0.9068 0.5318  2 Mo 2.42

---

Compound: FeCo2BS
Source: the Alexandria database
Functional: PBE
Structure: relaxed

Summary:
As for the formation energy without anion corrections: 0.598 eV per atom.

a = 3.7647 Å, b = 3.7647 Å, c = 4.2106 Å
α = 90.00°, β = 90.00°, γ = 90.00°
With the nearest neighbours (Å) after each atom.
Sites, in units of the cell vectors:
Fe1 0.0000 0.0000 0.0000  4 S 2.66, 8 Co 2.82
Co1 0.0000 0.5000 0.5000  2 B 1.88
Co2 0.5000 0.0000 0.5000  2 B 1.88
B1 0.5000 0.5000 0.5000  4 Co 1.88, 2 S 2.11
S1 0.5000 0.5000 0.0000  2 B 2.11

---

Compound: UPa2Ge3Ir4
Source: the Alexandria database
Functional: PBE
Structure: relaxed

Summary:
For the formation energy from the elements, the calculation gives -5.88 eV/f.u.

a = 4.1469 Å, b = 4.1469 Å, c = 11.1609 Å
α = 90.00°, β = 90.00°, γ = 90.00°
With the nearest neighbours (Å) after each atom.
Sites, in units of the cell vectors:
U1 0.0000 0.0000 0.0000  4 Ir 2.72, 4 Ge 2.93
Pa1 0.0000 0.5000 0.7299  4 Ge 3.16, 8 Ir 3.19-3.30
Pa2 0.5000 0.0000 0.2701  4 Ge 3.16, 8 Ir 3.19-3.30
Ge1 0.0000 0.5000 0.3751  5 Ir 2.43-2.50
Ge2 0.5000 0.0000 0.6249  5 Ir 2.43-2.50
Ge3 0.5000 0.5000 0.0000  4 Ir 2.72, 4 U 2.93
Ir1 0.0000 0.0000 0.5000  4 Ge 2.50
Ir2 0.0000 0.5000 0.1571  3 Ge 2.43-2.72, 2 U 2.72
Ir3 0.5000 0.0000 0.8429  3 Ge 2.43-2.72, 2 U 2.72
Ir4 0.5000 0.5000 0.5000  4 Ge 2.50

---

Compound: LaNiHg
Source: the Alexandria database
Functional: PBE
Structure: relaxed

Summary:
For the formation energy from the elements, the calculation gives -0.61 eV/f.u.

a = 5.9663 Å, b = 5.9663 Å, c = 5.9663 Å
α = 145.56°, β = 145.56°, γ = 49.50°
With the nearest neighbours (Å) after each atom.
Sites, in units of the cell vectors:
La1 0.0000 0.0000 0.0000  4 Ni 3.01, 1 Hg 3.14
Ni1 0.3444 0.3444 0.0000  4 Hg 2.89, 4 La 3.01
Hg1 0.7099 0.7099 0.0000  4 Ni 2.89, 1 La 3.14

---

Compound: Ho3Ga7Ni2
Source: the Alexandria database
Functional: PBE
Structure: relaxed

Summary:
For the formation energy from the elements, the calculation gives -7.27 eV/f.u.

a = 4.1634 Å, b = 4.1286 Å, c = 13.0415 Å
α = 90.00°, β = 99.06°, γ = 90.00°
With the nearest neighbours (Å) after each atom.
Sites, in units of the cell vectors:
Ho1 0.0000 0.0000 0.0000  12 Ga 2.93-3.03
Ho2 0.3176 0.5000 0.6386  10 Ga 3.12-3.24, 4 Ni 3.19-3.21
Ho3 0.6824 0.5000 0.3614  10 Ga 3.12-3.24, 4 Ni 3.19-3.21
Ga1 0.0862 0.5000 0.1701  2 Ni 2.38
Ga2 0.2224 0.0000 0.4445  1 Ni 2.35, 2 Ga 2.52-2.53
Ga3 0.4158 0.0000 0.8292  2 Ni 2.39
Ga4 0.5000 0.5000 0.0000  4 Ho 2.93, 8 Ga 3.02-3.03
Ga5 0.5842 0.0000 0.1708  2 Ni 2.39
Ga6 0.7776 0.0000 0.5555  1 Ni 2.35, 2 Ga 2.52-2.53
Ga7 0.9138 0.5000 0.8299  2 Ni 2.38
Ni1 0.1290 0.0000 0.2621  5 Ga 2.35-2.39
Ni2 0.8710 0.0000 0.7379  5 Ga 2.35-2.39

---

Compound: RbGeRuS2
Source: the Alexandria database
Functional: PBE
Structure: relaxed

Summary:
As for the formation energy without anion corrections: 0.563 eV per atom.

a = 4.6110 Å, b = 4.6110 Å, c = 6.2064 Å
α = 90.00°, β = 90.00°, γ = 90.00°
With the nearest neighbours (Å) after each atom.
Sites, in units of the cell vectors:
Rb1 0.0000 0.0000 0.0000  2 Ru 3.10, 4 Ge 3.26
Ge1 0.5000 0.5000 0.0000  4 Rb 3.26
Ru1 0.0000 0.0000 0.5000  4 S 2.31
S1 0.0000 0.5000 0.5000  2 Ru 2.31
S2 0.5000 0.0000 0.5000  2 Ru 2.31

---

For each record above, in turn, the calculated uncorrected energy values are -1.59, -5.69, -7.63, -6.10, -8.55, -3.87, -4.48, -4.06 eV/atom.